# Mg2VCrO | Alexandria via LeMat-Bulk | PBE with a Hubbard U | relaxed
data_Mg2VCrO
_cell_length_a 5.179
_cell_length_b 5.179
_cell_length_c 4.657
_cell_angle_alpha 90.00
_cell_angle_beta 90.00
_cell_angle_gamma 90.00
_space_group_name_H-M_alt 'P 4/m m m'
_space_group_IT_number 123
_space_group_name_Hall '-P 4 2'
loop_
_atom_site_label
_atom_site_type_symbol
_atom_site_fract_x
_atom_site_fract_y
_atom_site_fract_z
Mg1 Mg 0.000 0.500 0.000
V1 V 0.000 0.000 0.000
Cr1 Cr 0.000 0.000 0.500
O1 O 0.500 0.500 0.500
# - calculated total energy (eV for the cell shown) = -16.0
# - N(E_F) (states/eV per cell) = 2.21
# - total magnetic moment (μB/cell) = 0.86